1.
# Pa2CuNi9 GGA-PBE relaxed
# ΔE to the lowest computed polymorph = 9.3 kJ per mole of atoms
# ΔH_f (0 K) = -184 meV/atom
data_Pa2CuNi9
_chemical_formula_sum 'Pa6 Cu3 Ni27'
_space_group_name_H-M_alt 'R -3 m'
_space_group_IT_number 166
_space_group_name_Hall '-R 3 2"'
_cell_length_a 4.8582
_cell_length_b 4.8582
_cell_length_c 24.1572
_cell_angle_alpha 90.00
_cell_angle_beta 90.00
_cell_angle_gamma 120.00
loop_
_atom_site_label
_atom_site_type_symbol
_atom_site_fract_x
_atom_site_fract_y
_atom_site_fract_z
Pa1 Pa 0.0000 0.0000 0.1316
Cu1 Cu 0.0000 0.0000 0.0000
Ni1 Ni 0.0000 0.0000 0.3331
Ni2 Ni 0.0000 0.0000 0.5000
Ni3 Ni 0.0023 0.5011 0.9174



2.
# Al2SbOs GGA-PBE relaxed
# final energy = -5.793 eV per atom
data_Al2SbOs
_chemical_formula_sum 'Al2 Sb1 Os1'
_space_group_name_H-M_alt 'P 4/m m m'
_space_group_IT_number 123
_space_group_name_Hall '-P 4 2'
_cell_length_a 3.043
_cell_length_b 3.043
_cell_length_c 7.891
_cell_angle_alpha 90.00
_cell_angle_beta 90.00
_cell_angle_gamma 90.00
loop_
_atom_site_label
_atom_site_type_symbol
_atom_site_fract_x
_atom_site_fract_y
_atom_site_fract_z
Al1 Al 0.000 0.000 0.181
Sb1 Sb 0.500 0.500 0.500
Os1 Os 0.500 0.500 0.000



3.
# PrHoLuGa GGA-PBE relaxed
# ΔH_f (0 K) = -104 meV/atom
data_PrHoLuGa
_chemical_formula_sum 'Pr4 Ho4 Lu4 Ga4'
_space_group_name_H-M_alt 'F -4 3 m'
_space_group_IT_number 216
_space_group_name_Hall 'F -4 2 3'
_cell_length_a 7.570
_cell_length_b 7.570
_cell_length_c 7.570
_cell_angle_alpha 90.00
_cell_angle_beta 90.00
_cell_angle_gamma 90.00
loop_
_atom_site_label
_atom_site_type_symbol
_atom_site_fract_x
_atom_site_fract_y
_atom_site_fract_z
Pr1 Pr 0.000 0.000 0.000
Ho1 Ho 0.000 0.000 0.500
Lu1 Lu 0.250 0.250 0.250
Ga1 Ga 0.250 0.250 0.750



4.
# OsWSe GGA-PBE relaxed
# ΔE to the lowest computed polymorph = 30.9 kJ per mole of atoms
data_OsWSe
_chemical_formula_sum 'Os2 W2 Se2'
_space_group_name_H-M_alt 'I m m 2'
_space_group_IT_number 44
_space_group_name_Hall 'I 2 -2'
_cell_length_a 2.969
_cell_length_b 4.046
_cell_length_c 7.867
_cell_angle_alpha 90.00
_cell_angle_beta 90.00
_cell_angle_gamma 90.00
loop_
_atom_site_label
_atom_site_type_symbol
_atom_site_fract_x
_atom_site_fract_y
_atom_site_fract_z
Os1 Os 0.000 0.000 0.000
W1 W 0.000 0.000 0.655
Se1 Se 0.000 0.000 0.326



5.
# SrMgTc2 GGA-PBE relaxed
# ΔH_f (0 K) = 871 meV/atom
data_SrMgTc2
_chemical_formula_sum 'Sr4 Mg4 Tc8'
_space_group_name_H-M_alt 'I -4 2 d'
_space_group_IT_number 122
_space_group_name_Hall 'I -4 2bw'
_cell_length_a 4.337
_cell_length_b 4.337
_cell_length_c 19.681
_cell_angle_alpha 90.00
_cell_angle_beta 90.00
_cell_angle_gamma 90.00
loop_
_atom_site_label
_atom_site_type_symbol
_atom_site_fract_x
_atom_site_fract_y
_atom_site_fract_z
Sr1 Sr 0.000 0.000 0.000
Mg1 Mg 0.000 0.000 0.500
Tc1 Tc 0.132 0.250 0.625



6.
# Rb2PbF6 GGA-PBE relaxed
# final energy = -4.304 eV per atom
data_Rb2PbF6
_chemical_formula_sum 'Rb4 Pb2 F12'
_space_group_name_H-M_alt 'P 1 21/c 1'
_space_group_IT_number 14
_space_group_name_Hall '-P 2ybc'
_cell_length_a 6.542
_cell_length_b 8.186
_cell_length_c 8.172
_cell_angle_alpha 90.00
_cell_angle_beta 118.92
_cell_angle_gamma 90.00
loop_
_atom_site_label
_atom_site_type_symbol
_atom_site_fract_x
_atom_site_fract_y
_atom_site_fract_z
Rb1 Rb 0.183 0.059 0.315
Pb1 Pb 0.500 0.000 0.000
F1 F 0.198 0.124 0.967
F2 F 0.307 0.719 0.434
F3 F 0.387 0.035 0.713



7.
# Ca5SmAu6 GGA-PBE relaxed
# ΔH_f (0 K) = -794 meV/atom
data_Ca5SmAu6
_chemical_formula_sum 'Ca5 Sm1 Au6'
_space_group_name_H-M_alt 'P 1 2/m 1'
_space_group_IT_number 10
_space_group_name_Hall '-P 2y'
_cell_length_a 5.148
_cell_length_b 7.317
_cell_length_c 8.120
_cell_angle_alpha 90.00
_cell_angle_beta 108.22
_cell_angle_gamma 90.00
loop_
_atom_site_label
_atom_site_type_symbol
_atom_site_fract_x
_atom_site_fract_y
_atom_site_fract_z
Ca1 Ca 0.000 0.000 0.000
Ca2 Ca 0.331 0.500 0.661
Ca3 Ca 0.334 0.000 0.668
Sm1 Sm 0.000 0.500 0.000
Au1 Au 0.162 0.252 0.326
Au2 Au 0.500 0.261 0.000



8.
# LaP4Cl GGA-PBE relaxed
# final energy = -5.175 eV per atom
data_LaP4Cl
_chemical_formula_sum 'La4 P16 Cl4'
_space_group_name_H-M_alt 'F -4 3 m'
_space_group_IT_number 216
_space_group_name_Hall 'F -4 2 3'
_cell_length_a 7.758
_cell_length_b 7.758
_cell_length_c 7.758
_cell_angle_alpha 90.00
_cell_angle_beta 90.00
_cell_angle_gamma 90.00
loop_
_atom_site_label
_atom_site_type_symbol
_atom_site_fract_x
_atom_site_fract_y
_atom_site_fract_z
La1 La 0.000 0.000 0.000
P1 P 0.107 0.107 0.607
Cl1 Cl 0.250 0.250 0.250



9.
# SbTe4Au GGA-PBE relaxed
# ΔE to the lowest computed polymorph = 0.0 kJ per mole of atoms
data_SbTe4Au
_chemical_formula_sum 'Sb2 Te8 Au2'
_space_group_name_H-M_alt 'C 1 2/m 1'
_space_group_IT_number 12
_space_group_name_Hall '-C 2y'
_cell_length_a 13.208
_cell_length_b 4.146
_cell_length_c 7.809
_cell_angle_alpha 90.00
_cell_angle_beta 109.03
_cell_angle_gamma 90.00
loop_
_atom_site_label
_atom_site_type_symbol
_atom_site_fract_x
_atom_site_fract_y
_atom_site_fract_z
Sb1 Sb 0.000 0.000 0.000
Te1 Te 0.106 0.000 0.414
Te2 Te 0.175 0.500 0.044
Au1 Au 0.000 0.500 0.500



10.
# LaSmAsO GGA-PBE relaxed
# final energy = -6.774 eV per atom
data_LaSmAsO
_chemical_formula_sum 'La2 Sm2 As2 O2'
_space_group_name_H-M_alt 'P 4/n m m'
_space_group_IT_number 129
_cell_length_a 4.486
_cell_length_b 4.486
_cell_length_c 9.392
_cell_angle_alpha 90.00
_cell_angle_beta 90.00
_cell_angle_gamma 90.00
loop_
_space_group_symop_operation_xyz
'x,y,z'
'-x,-y,-z'
'-y+1/2,x,z'
'y+1/2,-x,-z'
'-x+1/2,-y+1/2,z'
'x+1/2,y+1/2,-z'
'y,-x+1/2,z'
'-y,x+1/2,-z'
'x+1/2,-y,-z'
'-x+1/2,y,z'
'-y,-x,-z'
'y,x,z'
'-x,y+1/2,-z'
'x,-y+1/2,z'
'y+1/2,x+1/2,-z'
'-y+1/2,-x+1/2,z'
loop_
_atom_site_label
_atom_site_type_symbol
_atom_site_fract_x
_atom_site_fract_y
_atom_site_fract_z
La1 La 0.250 0.250 0.107
Sm1 Sm 0.250 0.750 0.500
As1 As 0.250 0.250 0.701
O1 O 0.250 0.750 0.000



11.
# TiNbHg2 GGA-PBE relaxed
# ΔE to the lowest computed polymorph = 0.0 kJ per mole of atoms
# ΔH_f (0 K) = 107 meV/atom
data_TiNbHg2
_chemical_formula_sum 'Ti1 Nb1 Hg2'
_space_group_name_H-M_alt 'P 4/m m m'
_space_group_IT_number 123
_space_group_name_Hall '-P 4 2'
_cell_length_a 4.245
_cell_length_b 4.245
_cell_length_c 4.209
_cell_angle_alpha 90.00
_cell_angle_beta 90.00
_cell_angle_gamma 90.00
loop_
_atom_site_label
_atom_site_type_symbol
_atom_site_fract_x
_atom_site_fract_y
_atom_site_fract_z
Ti1 Ti 0.000 0.000 0.000
Nb1 Nb 0.500 0.500 0.000
Hg1 Hg 0.000 0.500 0.500



12.
# YErW GGA-PBE relaxed
# ΔH_f (0 K) = 183 meV/atom
data_YErW
_chemical_formula_sum 'Y2 Er2 W2'
_space_group_name_H-M_alt 'P 4/n m m'
_space_group_IT_number 129
_cell_length_a 3.339
_cell_length_b 3.339
_cell_length_c 13.643
_cell_angle_alpha 90.00
_cell_angle_beta 90.00
_cell_angle_gamma 90.00
loop_
_space_group_symop_operation_xyz
'x,y,z'
'-x,-y,-z'
'-y+1/2,x,z'
'y+1/2,-x,-z'
'-x+1/2,-y+1/2,z'
'x+1/2,y+1/2,-z'
'y,-x+1/2,z'
'-y,x+1/2,-z'
'x+1/2,-y,-z'
'-x+1/2,y,z'
'-y,-x,-z'
'y,x,z'
'-x,y+1/2,-z'
'x,-y+1/2,z'
'y+1/2,x+1/2,-z'
'-y+1/2,-x+1/2,z'
loop_
_atom_site_label
_atom_site_type_symbol
_atom_site_fract_x
_atom_site_fract_y
_atom_site_fract_z
Y1 Y 0.250 0.250 0.096
Er1 Er 0.250 0.250 0.693
W1 W 0.250 0.250 0.452



Q: Which formula does entry 10 have?
A: LaSmAsO



Q: What is the formula in the ninth record?
A: SbTe4Au